--- P ---
Compound: SbPt3Cl
Source: the Alexandria database
Functional: GGA-PBE
Structure: optimized geometry

Output
DOS at the Fermi energy	3.89	states/eV/cell

Cell: 5.0074 5.0074 5.0074 Å, 90.00 90.00 90.00°
Space group Pm-3m (No. 221)
Inequivalent atoms, fractional coordinates:
Sb: 0.0000 0.0000 0.0000 [1 per cell]
Pt: 0.0000 0.0000 0.5000 [3 per cell]
Cl: 0.5000 0.5000 0.5000 [1 per cell]



--- Q ---
Compound: SbPt3Cl
Source: the Alexandria database
Functional: GGA-PBE
Structure: optimized geometry

Output
DOS at the Fermi energy	4.46	states/eV/cell

Cell: 4.6589 4.6589 4.6589 Å, 90.00 90.00 90.00°
Space group Pm-3m (No. 221)
Inequivalent atoms, fractional coordinates:
Sb: 0.0000 0.0000 0.0000 [1 per cell]
Pt: 0.0000 0.5000 0.5000 [3 per cell]
Cl: 0.5000 0.5000 0.5000 [1 per cell]



Of them, the most stable is Q and the least stable is P.



--- P ---
Compound: Sb2TePtCl
Source: the Alexandria database
Functional: GGA-PBE
Structure: optimized geometry

Output
DOS at the Fermi energy	8.59	states/eV/cell

Cell: 5.3182 5.3182 5.3619 Å, 90.00 90.00 90.00°
Space group P4/mmm (No. 123)
Inequivalent atoms, fractional coordinates:
Sb: 0.0000 0.5000 0.0000 [2 per cell]
Te: 0.0000 0.0000 0.5000 [1 per cell]
Pt: 0.0000 0.0000 0.0000 [1 per cell]
Cl: 0.5000 0.5000 0.5000 [1 per cell]



--- Q ---
Compound: Sb2TePtCl
Source: the Alexandria database
Functional: GGA-PBE
Structure: optimized geometry

Output
DOS at the Fermi energy	5.30	states/eV/cell

Cell: 5.1636 5.1636 5.3474 Å, 90.00 90.00 90.00°
Space group P4/mmm (No. 123)
Inequivalent atoms, fractional coordinates:
Sb: 0.0000 0.5000 0.0000 [2 per cell]
Te: 0.0000 0.0000 0.5000 [1 per cell]
Pt: 0.5000 0.5000 0.5000 [1 per cell]
Cl: 0.0000 0.0000 0.0000 [1 per cell]



Of them, the most stable is P and the least stable is Q.



--- P ---
Compound: ScPtCl2
Source: the Alexandria database
Functional: GGA-PBE
Structure: optimized geometry

Output
DOS at the Fermi energy	17.43	states/eV/cell

Cell: 6.6738 6.6738 6.6738 Å, 90.00 90.00 90.00°
Space group F-43m (No. 216)
Inequivalent atoms, fractional coordinates:
Sc: 0.0000 0.0000 0.0000 [4 per cell]
Pt: 0.2500 0.2500 0.2500 [4 per cell]
Cl: 0.0000 0.0000 0.5000 [4 per cell]
Cl: 0.2500 0.2500 0.7500 [4 per cell]



--- Q ---
Compound: ScPtCl2
Source: the Alexandria database
Functional: GGA-PBE
Structure: optimized geometry

Output
DOS at the Fermi energy	12.28	states/eV/cell

Cell: 4.3728 4.3728 16.7547 Å, 90.00 90.00 90.00°
Space group I-42d (No. 122)
Inequivalent atoms, fractional coordinates:
Sc: 0.0000 0.0000 0.0000 [4 per cell]
Pt: 0.0000 0.0000 0.5000 [4 per cell]
Cl: 0.2464 0.2500 0.1250 [8 per cell]



Of them, the most stable is Q and the least stable is P.



--- P ---
Compound: Sc2PtCl
Source: the Alexandria database
Functional: GGA-PBE
Structure: optimized geometry

Output
DOS at the Fermi energy	2.58	states/eV/cell

Cell: 3.7857 3.7857 5.5281 Å, 90.00 90.00 90.00°
Space group P4/mmm (No. 123)
Inequivalent atoms, fractional coordinates:
Sc: 0.0000 0.0000 0.0000 [1 per cell]
Sc: 0.5000 0.5000 0.5000 [1 per cell]
Pt: 0.0000 0.0000 0.5000 [1 per cell]
Cl: 0.5000 0.5000 0.0000 [1 per cell]



--- Q ---
Compound: Sc2PtCl
Source: the Alexandria database
Functional: GGA-PBE
Structure: optimized geometry

Output
DOS at the Fermi energy	26.34	states/eV/cell

Cell: 6.7908 6.7908 6.7908 Å, 90.00 90.00 90.00°
Space group F-43m (No. 216)
Inequivalent atoms, fractional coordinates:
Sc: 0.0000 0.0000 0.0000 [4 per cell]
Sc: 0.2500 0.2500 0.2500 [4 per cell]
Pt: 0.2500 0.2500 0.7500 [4 per cell]
Cl: 0.0000 0.0000 0.5000 [4 per cell]



--- R ---
Compound: Sc2PtCl
Source: the Alexandria database
Functional: GGA-PBE
Structure: optimized geometry

Output
DOS at the Fermi energy	6.67	states/eV/cell

Cell: 3.8470 5.5012 7.3490 Å, 90.00 90.00 90.00°
Space group Immm (No. 71)
Inequivalent atoms, fractional coordinates:
Sc: 0.0000 0.0000 0.2418 [4 per cell]
Pt: 0.0000 0.5000 0.0000 [2 per cell]
Cl: 0.0000 0.5000 0.5000 [2 per cell]



--- S ---
Compound: Sc2PtCl
Source: the Alexandria database
Functional: GGA-PBE
Structure: optimized geometry

Output
DOS at the Fermi energy	24.35	states/eV/cell

Cell: 6.7185 6.7185 6.7185 Å, 90.00 90.00 90.00°
Space group Fm-3m (No. 225)
Inequivalent atoms, fractional coordinates:
Sc: 0.2500 0.2500 0.2500 [8 per cell]
Pt: 0.0000 0.0000 0.0000 [4 per cell]
Cl: 0.0000 0.0000 0.5000 [4 per cell]



Of them, the most stable is P and the least stable is Q.



--- P ---
Compound: ScPtCl
Source: the Alexandria database
Functional: GGA-PBE
Structure: optimized geometry

Output
DOS at the Fermi energy	0.64	states/eV/cell

Cell: 4.4720 4.4815 13.0039 Å, 90.00 90.00 90.00°
Space group Fmm2 (No. 42)
Inequivalent atoms, fractional coordinates:
Sc: 0.0000 0.0000 0.0000 [4 per cell]
Pt: 0.0000 0.0000 0.6163 [4 per cell]
Cl: 0.0000 0.0000 0.3697 [4 per cell]



--- Q ---
Compound: ScPtCl
Source: the Alexandria database
Functional: GGA-PBE
Structure: optimized geometry

Output
DOS at the Fermi energy	1.45	states/eV/cell

Cell: 6.2027 6.2027 6.2027 Å, 90.00 90.00 90.00°
Space group F-43m (No. 216)
Inequivalent atoms, fractional coordinates:
Sc: 0.0000 0.0000 0.0000 [4 per cell]
Pt: 0.0000 0.0000 0.5000 [4 per cell]
Cl: 0.2500 0.2500 0.7500 [4 per cell]



--- R ---
Compound: ScPtCl
Source: the Alexandria database
Functional: GGA-PBE
Structure: optimized geometry

Output
DOS at the Fermi energy	0.15	states/eV/cell

Cell: 3.6835 3.6835 11.5407 Å, 90.00 90.00 120.00°
Space group P-3m1 (No. 164)
Inequivalent atoms, fractional coordinates:
Sc: 0.0000 0.0000 0.2101 [2 per cell]
Pt: 0.3333 0.6667 0.0742 [2 per cell]
Cl: 0.3333 0.6667 0.6506 [2 per cell]



--- S ---
Compound: ScPtCl
Source: the Alexandria database
Functional: GGA-PBE
Structure: optimized geometry

Output
DOS at the Fermi energy	0.13	states/eV/cell

Cell: 11.9641 3.6011 6.4662 Å, 90.00 113.53 90.00°
Space group C2/m (No. 12)
Inequivalent atoms, fractional coordinates:
Sc: 0.0000 0.0000 0.0000 [2 per cell]
Sc: 0.0000 0.5000 0.5000 [2 per cell]
Pt: 0.1525 0.0000 0.4277 [4 per cell]
Cl: 0.1304 0.5000 0.9290 [4 per cell]



Of them, the most stable is R and the least stable is Q.



--- P ---
Compound: PtSeCl3
Source: the Alexandria database
Functional: GGA-PBE
Structure: optimized geometry

Cell: 6.9460 8.2731 12.2511 Å, 90.00 90.23 90.00°
Space group P2/c (No. 13)
Inequivalent atoms, fractional coordinates:
Pt: 0.0615 0.1347 0.1133 [4 per cell]
Se: 0.0336 0.4196 0.3394 [4 per cell]
Cl: 0.1083 0.1667 0.5504 [4 per cell]
Cl: 0.2202 0.0666 0.2801 [4 per cell]
Cl: 0.3401 0.2119 0.0282 [4 per cell]



--- Q ---
Compound: PtSeCl3
Source: the Alexandria database
Functional: GGA-PBE
Structure: optimized geometry

Output
DOS at the Fermi energy	3.06	states/eV/cell

Cell: 4.9225 4.9225 4.9225 Å, 90.00 90.00 90.00°
Space group Pm-3m (No. 221)
Inequivalent atoms, fractional coordinates:
Pt: 0.0000 0.0000 0.0000 [1 per cell]
Se: 0.5000 0.5000 0.5000 [1 per cell]
Cl: 0.0000 0.0000 0.5000 [3 per cell]



Of them, the most stable is P and the least stable is Q.



--- P ---
Compound: Pt2SeCl2
Source: the Alexandria database
Functional: GGA-PBE
Structure: optimized geometry

Output
DOS at the Fermi energy	6.65	states/eV/cell

Cell: 7.0702 7.0702 4.5104 Å, 90.00 90.00 90.00°
Space group P4/mbm (No. 127)
Inequivalent atoms, fractional coordinates:
Pt: 0.2312 0.2688 0.0000 [4 per cell]
Se: 0.0000 0.0000 0.0000 [2 per cell]
Cl: 0.1659 0.3341 0.5000 [4 per cell]



--- Q ---
Compound: Pt2SeCl2
Source: the Alexandria database
Functional: GGA-PBE
Structure: optimized geometry

Output
DOS at the Fermi energy	14.81	states/eV/cell

Cell: 4.1213 4.1213 11.6791 Å, 90.00 90.00 90.00°
Space group I4/mmm (No. 139)
Inequivalent atoms, fractional coordinates:
Pt: 0.0000 0.0000 0.1084 [4 per cell]
Se: 0.0000 0.0000 0.5000 [2 per cell]
Cl: 0.0000 0.5000 0.2500 [4 per cell]



Of them, the most stable is P and the least stable is Q.



--- P ---
Compound: Pt3SeCl
Source: the Alexandria database
Functional: GGA-PBE
Structure: optimized geometry

Output
DOS at the Fermi energy	6.08	states/eV/cell

Cell: 4.7627 4.7627 4.7627 Å, 90.00 90.00 90.00°
Space group Pm-3m (No. 221)
Inequivalent atoms, fractional coordinates:
Pt: 0.0000 0.0000 0.5000 [3 per cell]
Se: 0.0000 0.0000 0.0000 [1 per cell]
Cl: 0.5000 0.5000 0.5000 [1 per cell]



--- Q ---
Compound: Pt3SeCl
Source: the Alexandria database
Functional: GGA-PBE
Structure: optimized geometry

Output
DOS at the Fermi energy	4.50	states/eV/cell

Cell: 4.6102 4.6102 4.6102 Å, 90.00 90.00 90.00°
Space group Pm-3m (No. 221)
Inequivalent atoms, fractional coordinates:
Pt: 0.0000 0.0000 0.5000 [3 per cell]
Se: 0.5000 0.5000 0.5000 [1 per cell]
Cl: 0.0000 0.0000 0.0000 [1 per cell]



Of them, the most stable is P and the least stable is Q.